(1)
Entry from the Alexandria database: a geometry-optimized BaGePb2Se4 structure (PBE).

Unit cell a=8.8028 b=8.8028 c=8.8151 alpha=120.05 beta=120.05 gamma=89.90
Last column: nearest neighbours and their distance in Å.
Atoms (fractional coordinates):
Se: 0.7447 0.7555 0.9838  2 Ge 3.01-3.02, 3 Pb 3.05-3.22, 1 Ba 3.18
Ge: 0.5000 0.5000 0.5000  6 Se 3.00-3.02
Pb: 0.0000 0.0000 0.5000  6 Se 3.22-3.23
Ba: 0.0000 0.5000 0.0000  6 Se 3.18
Ge: 0.0000 0.0000 0.0000  6 Se 3.00-3.02
Se: 0.7304 0.2489 0.4896  1 Ge 3.00, 3 Pb 3.05-3.23, 2 Ba 3.18
Pb: 0.5000 0.5000 0.0000  6 Se 3.22-3.23
Pb: 0.5000 0.0000 0.0000  6 Se 3.05
Se: 0.7489 0.2304 0.9896  1 Ge 3.00, 3 Pb 3.05-3.23, 2 Ba 3.18
Se: 0.7445 0.7553 0.5162  2 Ge 3.01-3.02, 3 Pb 3.05-3.22, 1 Ba 3.18
Se: 0.2555 0.2447 0.4838  2 Ge 3.01-3.02, 3 Pb 3.05-3.22, 1 Ba 3.18
Pb: 0.5000 0.0000 0.5000  6 Se 3.05
Se: 0.2511 0.7696 0.0104  1 Ge 3.00, 3 Pb 3.05-3.23, 2 Ba 3.18
Se: 0.2553 0.2445 0.0162  2 Ge 3.01-3.02, 3 Pb 3.05-3.22, 1 Ba 3.18
Ba: 0.0000 0.5000 0.5000  6 Se 3.18
Se: 0.2696 0.7511 0.5104  1 Ge 3.00, 3 Pb 3.05-3.23, 2 Ba 3.18

Total magnetization (μB/atom): 0.000
Total energy (eV/atom): -4.26
Crystal system: orthorhombic
Formation energy without anion corrections (eV per atom): -0.7767

=====

(2)
Entry from the Alexandria database: a geometry-optimized La2ZnP4Ir3 structure (PBE).

Unit cell a=4.2753 b=4.2753 c=9.5952 alpha=90.00 beta=90.00 gamma=90.00
Last column: nearest neighbours and their distance in Å.
Atoms (fractional coordinates):
Ir: 0.0000 0.5000 0.1092  5 P 2.38-2.42
La: 0.5000 0.0000 0.2412  8 P 3.15-3.24, 7 Ir 3.28-3.36, 2 Zn 3.28
Ir: 0.0000 0.0000 0.5000  4 P 2.52
La: 0.0000 0.5000 0.7588  8 P 3.15-3.24, 2 Zn 3.28, 7 Ir 3.28-3.36
Zn: 0.5000 0.5000 0.5000  4 P 2.52
P: 0.5000 0.0000 0.6383  3 Ir 2.42-2.52, 2 Zn 2.52
P: 0.0000 0.0000 0.0000  4 Ir 2.38
P: 0.5000 0.5000 0.0000  4 Ir 2.38
P: 0.0000 0.5000 0.3617  3 Ir 2.42-2.52, 2 Zn 2.52
Ir: 0.5000 0.0000 0.8908  5 P 2.38-2.42

Total magnetization (μB/atom): 0.000
Total energy (eV/atom): -6.87
Crystal system: tetragonal
DFT formation energy (eV/atom): -0.938

=====

Question: What is the total magnetization in the second record?
Answer: 0.000 μB/atom